#i
This record from Alexandria via LeMat-Bulk describes a relaxed InRe3H crystal. The functional is PBE-GGA.

Properties
Space-group type   Pm-3m, No. 221
Spin magnetization   0.00 μB/cell

Unit cell a=4.0601 b=4.0601 c=4.0601 alpha=90.00 beta=90.00 gamma=90.00
Last column: nearest neighbours and their distance in Å.
Positions (direct):
In 0.5000 0.5000 0.5000  12 Re 2.87
H 0.0000 0.0000 0.0000  6 Re 2.03
Re 0.5000 0.0000 0.0000  2 H 2.03
Re 0.0000 0.0000 0.5000  2 H 2.03
Re 0.0000 0.5000 0.0000  2 H 2.03

#ii
This record from Alexandria via LeMat-Bulk describes a relaxed InRe3H crystal. The functional is PBE-GGA.

Properties
Space-group type   Pm-3m, No. 221
Spin magnetization   0.00 μB/cell

Unit cell a=4.8647 b=4.8647 c=4.8647 alpha=90.00 beta=90.00 gamma=90.00
Last column: nearest neighbours and their distance in Å.
Positions (direct):
In 0.0000 0.0000 0.0000  6 Re 2.43
Re 0.0000 0.0000 0.5000  2 In 2.43
Re 0.0000 0.5000 0.0000  2 In 2.43
Re 0.5000 0.0000 0.0000  2 In 2.43
H 0.5000 0.5000 0.5000  12 Re 3.44

Most stable pick: #i. Distance to second place: 3.212 eV/atom.

#i
This record from Alexandria via LeMat-Bulk describes a relaxed InReH3 crystal. The functional is PBE-GGA.

Properties
Space-group type   Pm-3m, No. 221
Spin magnetization   0.40 μB/cell

Unit cell a=3.6190 b=3.6190 c=3.6190 alpha=90.00 beta=90.00 gamma=90.00
Last column: nearest neighbours and their distance in Å.
Positions (direct):
H 0.0000 0.5000 0.0000  2 Re 1.81
H 0.5000 0.0000 0.0000  2 Re 1.81
H 0.0000 0.0000 0.5000  2 Re 1.81
Re 0.0000 0.0000 0.0000  6 H 1.81
In 0.5000 0.5000 0.5000  12 H 2.56

#ii
This record from Alexandria via LeMat-Bulk describes a relaxed InReH3 crystal. The functional is PBE-GGA.

Properties
Space-group type   Pm-3m, No. 221
Spin magnetization   0.00 μB/cell

Unit cell a=3.6900 b=3.6900 c=3.6900 alpha=90.00 beta=90.00 gamma=90.00
Last column: nearest neighbours and their distance in Å.
Positions (direct):
Re 0.5000 0.5000 0.5000  12 H 2.61
H 0.0000 0.5000 0.0000  2 In 1.85
H 0.5000 0.0000 0.0000  2 In 1.85
H 0.0000 0.0000 0.5000  2 In 1.85
In 0.0000 0.0000 0.0000  6 H 1.85

Most stable pick: #i. Distance to second place: 1.135 eV/atom.

#i
This record from Alexandria via LeMat-Bulk describes a relaxed In2ReH crystal. The functional is PBE-GGA.

Properties
Space-group type   Fm-3m, No. 225
Spin magnetization   1.96 μB/cell

Unit cell a=4.6434 b=4.6434 c=4.6434 alpha=60.00 beta=60.00 gamma=60.00
Last column: nearest neighbours and their distance in Å.
Positions (direct):
In 0.7500 0.7500 0.7500  4 Re 2.84, 4 H 2.84
In 0.2500 0.2500 0.2500  4 H 2.84, 4 Re 2.84
H 0.0000 0.0000 0.0000  8 In 2.84
Re 0.5000 0.5000 0.5000  8 In 2.84

#ii
This record from Alexandria via LeMat-Bulk describes a relaxed In2ReH crystal. The functional is PBE-GGA.

Properties
Space-group type   I-42d, No. 122
Spin magnetization   3.72 μB/cell

Unit cell a=5.3035 b=5.3035 c=6.7534 alpha=66.88 beta=66.88 gamma=90.00
Last column: nearest neighbours and their distance in Å.
Positions (direct):
Re 0.0000 0.0000 0.0000  4 In 2.72
Re 0.7500 0.2500 0.5000  4 In 2.72
In 0.5132 0.1250 0.2500  2 H 2.07
In 0.2368 0.6250 0.2500  2 H 2.07
In 0.8750 0.7632 0.7500  2 H 2.07
In 0.3750 0.4868 0.7500  2 H 2.07
H 0.5000 0.5000 0.0000  4 In 2.07
H 0.2500 0.7500 0.5000  4 In 2.07

Most stable pick: #i. Distance to second place: 0.176 eV/atom.

#i
This record from Alexandria via LeMat-Bulk describes a relaxed InH3Rh3 crystal. The functional is PBE-GGA.

Properties
Space-group type   Pm-3n, No. 223
Spin magnetization   0.00 μB/cell

Unit cell a=5.2846 b=5.2846 c=5.2846 alpha=90.00 beta=90.00 gamma=90.00
Last column: nearest neighbours and their distance in Å.
Positions (direct):
Rh 0.0000 0.7500 0.5000  4 H 1.87
Rh 0.5000 0.0000 0.7500  4 H 1.87
Rh 0.5000 0.0000 0.2500  4 H 1.87
Rh 0.2500 0.5000 0.0000  4 H 1.87
Rh 0.0000 0.2500 0.5000  4 H 1.87
Rh 0.7500 0.5000 0.0000  4 H 1.87
H 0.7500 0.0000 0.5000  4 Rh 1.87
H 0.5000 0.7500 0.0000  4 Rh 1.87
H 0.5000 0.2500 0.0000  4 Rh 1.87
H 0.0000 0.5000 0.2500  4 Rh 1.87
H 0.0000 0.5000 0.7500  4 Rh 1.87
H 0.2500 0.0000 0.5000  4 Rh 1.87
In 0.5000 0.5000 0.5000  12 H 2.95, 12 Rh 2.95
In 0.0000 0.0000 0.0000  12 H 2.95, 12 Rh 2.95

#ii
This record from Alexandria via LeMat-Bulk describes a relaxed InH3Rh3 crystal. The functional is PBE-GGA.

Properties
Space-group type   R-3, No. 148
Spin magnetization   0.00 μB/cell

Unit cell a=5.0952 b=5.0952 c=7.5489 alpha=70.28 beta=70.28 gamma=60.00
Last column: nearest neighbours and their distance in Å.
Positions (direct):
In 0.6668 0.6668 0.9995  6 Rh 2.75-2.76, 3 In 2.94
In 0.3332 0.3332 0.0005  6 Rh 2.75-2.76, 3 In 2.94
H 0.1327 0.4697 0.6013  3 Rh 1.78-1.81
H 0.2037 0.8673 0.3987  3 Rh 1.78-1.81
H 0.5303 0.2037 0.3987  3 Rh 1.78-1.81
H 0.7963 0.1327 0.6013  3 Rh 1.78-1.81
H 0.8673 0.5303 0.3987  3 Rh 1.78-1.81
H 0.4697 0.7963 0.6013  3 Rh 1.78-1.81
Rh 0.7706 0.4378 0.6878  3 H 1.78-1.81
Rh 0.5622 0.8962 0.3122  3 H 1.78-1.81
Rh 0.2294 0.5622 0.3122  3 H 1.78-1.81
Rh 0.1038 0.7706 0.6878  3 H 1.78-1.81
Rh 0.8962 0.2294 0.3122  3 H 1.78-1.81
Rh 0.4378 0.1038 0.6878  3 H 1.78-1.81

Most stable pick: #ii. Distance to second place: 0.014 eV/atom.

#i
This record from Alexandria via LeMat-Bulk describes a relaxed InHRh2 crystal. The functional is PBE-GGA.

Properties
Space-group type   Fm-3m, No. 225
Spin magnetization   0.00 μB/cell

Unit cell a=4.3105 b=4.3105 c=4.3105 alpha=60.00 beta=60.00 gamma=60.00
Last column: nearest neighbours and their distance in Å.
Positions (direct):
Rh 0.2500 0.2500 0.2500  4 H 2.64, 4 In 2.64
Rh 0.7500 0.7500 0.7500  4 H 2.64, 4 In 2.64
In 0.5000 0.5000 0.5000  8 Rh 2.64
H 0.0000 0.0000 0.0000  8 Rh 2.64

#ii
This record from Alexandria via LeMat-Bulk describes a relaxed InHRh2 crystal. The functional is PBE-GGA.

Properties
Space-group type   P3_121, No. 152
Spin magnetization   0.00 μB/cell

Unit cell a=5.5555 b=5.5555 c=6.7131 alpha=90.00 beta=90.00 gamma=120.00
Last column: nearest neighbours and their distance in Å.
Positions (direct):
H 0.6463 0.0000 0.8333  4 Rh 1.86-1.98
H 0.0000 0.6463 0.1667  4 Rh 1.86-1.98
H 0.3537 0.3537 0.5000  4 Rh 1.86-1.98
In 0.0000 0.6963 0.6667  8 Rh 2.75-2.82
In 0.3037 0.3037 0.0000  8 Rh 2.75-2.82
In 0.6963 0.0000 0.3333  8 Rh 2.75-2.82
Rh 0.4887 0.6602 0.6672  2 H 1.86-1.98
Rh 0.1715 0.5113 0.3339  2 H 1.86-1.98
Rh 0.6602 0.4887 0.3328  2 H 1.86-1.98
Rh 0.5113 0.1715 0.6661  2 H 1.86-1.98
Rh 0.3398 0.8285 0.0005  2 H 1.86-1.98
Rh 0.8285 0.3398 0.9995  2 H 1.86-1.98

#iii
This record from Alexandria via LeMat-Bulk describes a relaxed InHRh2 crystal. The functional is PBE-GGA.

Properties
Space-group type   I-42d, No. 122
Spin magnetization   0.00 μB/cell

Unit cell a=6.0868 b=6.0868 c=5.1659 alpha=53.91 beta=53.91 gamma=90.00
Last column: nearest neighbours and their distance in Å.
Positions (direct):
H 0.5000 0.5000 0.0000  4 Rh 1.88
H 0.2500 0.7500 0.5000  4 Rh 1.88
Rh 0.2359 0.6250 0.2500  2 H 1.88
Rh 0.8750 0.7641 0.7500  2 H 1.88
Rh 0.3750 0.4859 0.7500  2 H 1.88
Rh 0.5141 0.1250 0.2500  2 H 1.88
In 0.7500 0.2500 0.5000  8 Rh 2.76-2.77, 2 H 2.86
In 0.0000 0.0000 0.0000  8 Rh 2.76-2.77, 2 H 2.86

Most stable pick: #iii. Distance to second place: 0.009 eV/atom.

#i
This record from Alexandria via LeMat-Bulk describes a relaxed InHRh2 crystal. The functional is PBE-GGA.

Properties
Space-group type   R-3m, No. 166
Spin magnetization   0.00 μB/cell

Unit cell a=2.9746 b=2.9746 c=6.8661 alpha=77.49 beta=77.49 gamma=60.00
Last column: nearest neighbours and their distance in Å.
Positions (direct):
Rh 0.7243 0.7243 0.8271  3 H 2.07
Rh 0.2757 0.2757 0.1729  3 H 2.07
In 0.5000 0.5000 0.5000  6 Rh 2.77, 6 In 2.97
H 0.0000 0.0000 0.0000  6 Rh 2.07

#ii
This record from Alexandria via LeMat-Bulk describes a relaxed InHRh2 crystal. The functional is PBE-GGA.

Properties
Space-group type   Cmcm, No. 63
Spin magnetization   0.00 μB/cell

Unit cell a=3.1021 b=5.7653 c=6.1755 alpha=90.00 beta=90.00 gamma=105.61
Last column: nearest neighbours and their distance in Å.
Positions (direct):
H 0.7230 0.4460 0.7500  2 Rh 1.78
H 0.2770 0.5540 0.2500  2 Rh 1.78
In 0.9941 0.9882 0.2500  8 Rh 2.73-2.76, 2 H 2.87
In 0.0059 0.0118 0.7500  8 Rh 2.73-2.76, 2 H 2.87
Rh 0.6496 0.2992 0.4932  1 H 1.78
Rh 0.6496 0.2992 0.0068  1 H 1.78
Rh 0.3504 0.7008 0.5068  1 H 1.78
Rh 0.3504 0.7008 0.9932  1 H 1.78

Most stable pick: #i. Distance to second place: 0.044 eV/atom.